Entry 1:
A plane-wave DFT calculation with PBE was carried out for a relaxed KLi2CrH6 crystal.

Output
Its space group is Pnnm. Its density of states at the Fermi level is 0.00 states/eV per atom.

Cell lengths 5.317, 7.420, 5.268 Å; angles 90.00, 90.00, 90.00 degrees
Sites, in units of the cell vectors:
K 0.000 0.000 0.000
K 0.500 0.500 0.500
Li 0.067 0.216 0.500
Li 0.433 0.716 0.000
Li 0.567 0.284 0.000
Li 0.933 0.784 0.500
Cr 0.000 0.500 0.000
Cr 0.500 0.000 0.500
H 0.086 0.660 0.223
H 0.086 0.660 0.777
H 0.190 0.949 0.500
H 0.310 0.449 0.000
H 0.414 0.160 0.277
H 0.414 0.160 0.723
H 0.586 0.840 0.277
H 0.586 0.840 0.723
H 0.690 0.551 0.000
H 0.810 0.051 0.500
H 0.914 0.340 0.223
H 0.914 0.340 0.777

---

Entry 2:
A plane-wave DFT calculation with PBE was carried out for a relaxed KMnCrH2 crystal.

Output
Its space group is P4/mmm. Its density of states at the Fermi level is 0.94 states/eV per atom.

Cell lengths 3.872, 3.872, 5.000 Å; angles 90.00, 90.00, 90.00 degrees
Sites, in units of the cell vectors:
K 0.000 0.000 0.000
Mn 0.000 0.000 0.500
Cr 0.500 0.500 0.000
H 0.000 0.500 0.500
H 0.500 0.000 0.500

---

Entry 3:
A plane-wave DFT calculation with PBE was carried out for a relaxed K2NaCr3H12 crystal.

Output
Its space group is R-3m.

Cell lengths 6.782, 6.782, 6.782 Å; angles 56.03, 56.03, 56.03 degrees
Sites, in units of the cell vectors:
K 0.119 0.119 0.119
K 0.881 0.881 0.881
Na 0.500 0.500 0.500
Cr 0.000 0.500 0.500
Cr 0.500 0.000 0.500
Cr 0.500 0.500 0.000
H 0.082 0.609 0.609
H 0.199 0.199 0.631
H 0.199 0.631 0.199
H 0.369 0.801 0.801
H 0.391 0.391 0.918
H 0.391 0.918 0.391
H 0.609 0.082 0.609
H 0.609 0.609 0.082
H 0.631 0.199 0.199
H 0.801 0.369 0.801
H 0.801 0.801 0.369
H 0.918 0.391 0.391

---

no.,electronic total energy (eV per atom),calculated volume (Å³/f.u.)
1,-3.65,103.9
2,-3.66,75.0
3,-4.05,200.3